(1)
Compound: NdNpSe3
Source: the Alexandria database
Functional: PBE
Structure: optimized geometry

```
data_NdNpSe3
_cell_length_a 4.250
_cell_length_b 4.250
_cell_length_c 19.924
_cell_angle_alpha 90.00
_cell_angle_beta 90.00
_cell_angle_gamma 120.00
_space_group_name_H-M_alt 'P 1'
_space_group_IT_number 1
loop_
_space_group_symop_operation_xyz
'x,y,z'
loop_
_atom_site_label
_atom_site_type_symbol
_atom_site_fract_x
_atom_site_fract_y
_atom_site_fract_z
Nd1 Nd 0.333 0.667 0.000
Nd2 Nd 0.667 0.333 0.500
Np1 Np 0.000 0.000 0.185
Np2 Np 0.000 0.000 0.685
Se1 Se 0.000 0.000 0.428
Se2 Se 0.000 0.000 0.928
Se3 Se 0.333 0.667 0.254
Se4 Se 0.333 0.667 0.598
Se5 Se 0.667 0.333 0.098
Se6 Se 0.667 0.333 0.754
```

Results
The symmetry is No. 186. The spin magnetization is 0.80 μB per atom. The total energy is -7.0564 eV/atom.



(2)
Compound: CePm2Mg
Source: the Alexandria database
Functional: PBE
Structure: optimized geometry

```
data_CePm2Mg
_cell_length_a 5.005
_cell_length_b 5.005
_cell_length_c 4.859
_cell_angle_alpha 90.00
_cell_angle_beta 90.00
_cell_angle_gamma 90.00
_space_group_name_H-M_alt 'P 1'
_space_group_IT_number 1
loop_
_space_group_symop_operation_xyz
'x,y,z'
loop_
_atom_site_label
_atom_site_type_symbol
_atom_site_fract_x
_atom_site_fract_y
_atom_site_fract_z
Ce1 Ce 0.000 0.000 0.000
Pm1 Pm 0.000 0.500 0.500
Pm2 Pm 0.500 0.000 0.500
Mg1 Mg 0.500 0.500 0.000
```

Results
The calculated formation energy is 0.06 eV per atom. The symmetry is No. 123. The spin magnetization is 0.28 μB per atom. The total energy is -4.1941 eV/atom.



(3)
Compound: UNbRe
Source: the Alexandria database
Functional: PBE
Structure: optimized geometry

```
data_UNbRe
_cell_length_a 3.003
_cell_length_b 3.003
_cell_length_c 7.142
_cell_angle_alpha 90.00
_cell_angle_beta 90.00
_cell_angle_gamma 120.00
_space_group_name_H-M_alt 'P 1'
_space_group_IT_number 1
loop_
_space_group_symop_operation_xyz
'x,y,z'
loop_
_atom_site_label
_atom_site_type_symbol
_atom_site_fract_x
_atom_site_fract_y
_atom_site_fract_z
U1 U 0.000 0.000 0.000
Nb1 Nb 0.333 0.667 0.624
Re1 Re 0.667 0.333 0.337
```

Results
The calculated formation energy is 0.33 eV per atom. The symmetry is No. 156. The spin magnetization is 0.14 μB per atom. The total energy is -10.9382 eV/atom.



(4)
Compound: BeHg3Te
Source: the Alexandria database
Functional: PBE
Structure: optimized geometry

```
data_BeHg3Te
_cell_length_a 5.953
_cell_length_b 5.953
_cell_length_c 5.953
_cell_angle_alpha 90.00
_cell_angle_beta 90.00
_cell_angle_gamma 90.00
_space_group_name_H-M_alt 'P 1'
_space_group_IT_number 1
loop_
_space_group_symop_operation_xyz
'x,y,z'
loop_
_atom_site_label
_atom_site_type_symbol
_atom_site_fract_x
_atom_site_fract_y
_atom_site_fract_z
Be1 Be 0.000 0.000 0.000
Hg1 Hg 0.000 0.500 0.500
Hg2 Hg 0.500 0.000 0.500
Hg3 Hg 0.500 0.500 0.000
Te1 Te 0.500 0.500 0.500
```

Results
The symmetry is No. 221. The spin magnetization is 0.00 μB per atom. The total energy is -0.7447 eV/atom.



(5)
Compound: Pu4P2Cl5
Source: the Alexandria database
Functional: PBE
Structure: optimized geometry

```
data_Pu4P2Cl5
_cell_length_a 12.688
_cell_length_b 12.688
_cell_length_c 12.688
_cell_angle_alpha 164.45
_cell_angle_beta 142.50
_cell_angle_gamma 40.83
_space_group_name_H-M_alt 'P 1'
_space_group_IT_number 1
loop_
_space_group_symop_operation_xyz
'x,y,z'
loop_
_atom_site_label
_atom_site_type_symbol
_atom_site_fract_x
_atom_site_fract_y
_atom_site_fract_z
Pu1 Pu 0.133 0.133 0.000
Pu2 Pu 0.211 0.500 0.711
Pu3 Pu 0.789 0.500 0.289
Pu4 Pu 0.867 0.867 0.000
P1 P 0.240 0.240 0.000
P2 P 0.760 0.760 0.000
Cl1 Cl 0.149 0.384 0.765
Cl2 Cl 0.381 0.616 0.765
Cl3 Cl 0.500 0.000 0.500
Cl4 Cl 0.619 0.384 0.235
Cl5 Cl 0.851 0.616 0.235
```

Results
The symmetry is No. 71. The spin magnetization is 0.26 μB per atom. The total energy is -7.7254 eV/atom.



(6)
Compound: Tb2Pm6Ho5
Source: the Alexandria database
Functional: PBE
Structure: optimized geometry

```
data_Tb2Pm6Ho5
_cell_length_a 11.704
_cell_length_b 20.458
_cell_length_c 3.615
_cell_angle_alpha 90.00
_cell_angle_beta 90.00
_cell_angle_gamma 90.00
_space_group_name_H-M_alt 'P 1'
_space_group_IT_number 1
loop_
_space_group_symop_operation_xyz
'x,y,z'
loop_
_atom_site_label
_atom_site_type_symbol
_atom_site_fract_x
_atom_site_fract_y
_atom_site_fract_z
Tb1 Tb 0.166 0.212 0.000
Tb2 Tb 0.334 0.712 0.000
Tb3 Tb 0.666 0.288 0.000
Tb4 Tb 0.834 0.788 0.000
Pm1 Pm 0.060 0.920 0.000
Pm2 Pm 0.082 0.633 0.000
Pm3 Pm 0.174 0.367 0.500
Pm4 Pm 0.326 0.867 0.500
Pm5 Pm 0.418 0.133 0.000
Pm6 Pm 0.440 0.420 0.000
Pm7 Pm 0.560 0.580 0.000
Pm8 Pm 0.582 0.867 0.000
Pm9 Pm 0.674 0.133 0.500
Pm10 Pm 0.826 0.633 0.500
Pm11 Pm 0.918 0.367 0.000
Pm12 Pm 0.940 0.080 0.000
Ho1 Ho 0.000 0.500 0.500
Ho2 Ho 0.093 0.775 0.500
Ho3 Ho 0.198 0.055 0.500
Ho4 Ho 0.302 0.555 0.500
Ho5 Ho 0.407 0.275 0.500
Ho6 Ho 0.500 0.000 0.500
Ho7 Ho 0.593 0.725 0.500
Ho8 Ho 0.698 0.445 0.500
Ho9 Ho 0.802 0.945 0.500
Ho10 Ho 0.907 0.225 0.500
```

Results
The calculated formation energy is 0.10 eV per atom. The symmetry is No. 55. The spin magnetization is 0.00 μB per atom. The total energy is -4.5653 eV/atom.



(7)
Compound: PrGdDy2
Source: the Alexandria database
Functional: PBE
Structure: optimized geometry

```
data_PrGdDy2
_cell_length_a 3.607
_cell_length_b 3.607
_cell_length_c 10.116
_cell_angle_alpha 90.00
_cell_angle_beta 90.00
_cell_angle_gamma 90.00
_space_group_name_H-M_alt 'P 1'
_space_group_IT_number 1
loop_
_space_group_symop_operation_xyz
'x,y,z'
loop_
_atom_site_label
_atom_site_type_symbol
_atom_site_fract_x
_atom_site_fract_y
_atom_site_fract_z
Pr1 Pr 0.000 0.000 0.000
Gd1 Gd 0.000 0.000 0.500
Dy1 Dy 0.500 0.500 0.254
Dy2 Dy 0.500 0.500 0.746
```

Results
The calculated formation energy is 0.03 eV per atom. The symmetry is No. 123. The spin magnetization is 1.81 μB per atom. The total energy is -6.9904 eV/atom.



(8)
Compound: LiHf2Au6
Source: the Alexandria database
Functional: PBE
Structure: optimized geometry

```
data_LiHf2Au6
_cell_length_a 7.663
_cell_length_b 7.663
_cell_length_c 4.803
_cell_angle_alpha 107.80
_cell_angle_beta 107.80
_cell_angle_gamma 44.40
_space_group_name_H-M_alt 'P 1'
_space_group_IT_number 1
loop_
_space_group_symop_operation_xyz
'x,y,z'
loop_
_atom_site_label
_atom_site_type_symbol
_atom_site_fract_x
_atom_site_fract_y
_atom_site_fract_z
Li1 Li 0.000 0.000 0.000
Hf1 Hf 0.323 0.323 0.213
Hf2 Hf 0.677 0.677 0.787
Au1 Au 0.089 0.597 0.755
Au2 Au 0.242 0.758 0.500
Au3 Au 0.403 0.911 0.245
Au4 Au 0.597 0.089 0.755
Au5 Au 0.758 0.242 0.500
Au6 Au 0.911 0.403 0.245
```

Results
The calculated formation energy is -0.30 eV per atom. The symmetry is No. 12. The spin magnetization is 0.00 μB per atom. The total energy is -4.9047 eV/atom.



(9)
Compound: Tb3Nd2Tm5
Source: the Alexandria database
Functional: PBE
Structure: optimized geometry

```
data_Tb3Nd2Tm5
_cell_length_a 12.282
_cell_length_b 12.282
_cell_length_c 12.282
_cell_angle_alpha 135.19
_cell_angle_beta 56.04
_cell_angle_gamma 148.12
_space_group_name_H-M_alt 'P 1'
_space_group_IT_number 1
loop_
_space_group_symop_operation_xyz
'x,y,z'
loop_
_atom_site_label
_atom_site_type_symbol
_atom_site_fract_x
_atom_site_fract_y
_atom_site_fract_z
Tb1 Tb 0.128 0.748 0.876
Tb2 Tb 0.250 0.250 0.000
Tb3 Tb 0.372 0.248 0.620
Tb4 Tb 0.628 0.752 0.380
Tb5 Tb 0.750 0.750 0.000
Tb6 Tb 0.872 0.252 0.124
Nd1 Nd 0.126 0.103 0.229
Nd2 Nd 0.374 0.603 0.978
Nd3 Nd 0.626 0.397 0.022
Nd4 Nd 0.874 0.897 0.771
Tm1 Tm 0.002 0.750 0.252
Tm2 Tm 0.124 0.415 0.539
Tm3 Tm 0.250 0.750 0.500
Tm4 Tm 0.376 0.915 0.290
Tm5 Tm 0.498 0.750 0.748
Tm6 Tm 0.502 0.250 0.252
Tm7 Tm 0.624 0.085 0.710
Tm8 Tm 0.750 0.250 0.500
Tm9 Tm 0.876 0.585 0.461
Tm10 Tm 0.998 0.250 0.748
```

Results
The calculated formation energy is 0.42 eV per atom. The symmetry is No. 72. The spin magnetization is 0.00 μB per atom. The total energy is -4.1623 eV/atom.



(10)
Compound: Dy4Ir2Rh
Source: the Alexandria database
Functional: PBE
Structure: optimized geometry

```
data_Dy4Ir2Rh
_cell_length_a 8.363
_cell_length_b 8.363
_cell_length_c 8.363
_cell_angle_alpha 33.44
_cell_angle_beta 33.44
_cell_angle_gamma 33.44
_space_group_name_H-M_alt 'P 1'
_space_group_IT_number 1
loop_
_space_group_symop_operation_xyz
'x,y,z'
loop_
_atom_site_label
_atom_site_type_symbol
_atom_site_fract_x
_atom_site_fract_y
_atom_site_fract_z
Dy1 Dy 0.124 0.124 0.124
Dy2 Dy 0.374 0.374 0.374
Dy3 Dy 0.626 0.626 0.626
Dy4 Dy 0.876 0.876 0.876
Ir1 Ir 0.250 0.250 0.250
Ir2 Ir 0.750 0.750 0.750
Rh1 Rh 0.500 0.500 0.500
```

Results
The calculated formation energy is -0.84 eV per atom. The symmetry is No. 166. The spin magnetization is 0.00 μB per atom. The total energy is -7.0531 eV/atom.



(11)
Compound: LiMgSi2
Source: the Alexandria database
Functional: PBE
Structure: optimized geometry

```
data_LiMgSi2
_cell_length_a 4.945
_cell_length_b 4.945
_cell_length_c 2.775
_cell_angle_alpha 90.00
_cell_angle_beta 90.00
_cell_angle_gamma 112.91
_space_group_name_H-M_alt 'P 1'
_space_group_IT_number 1
loop_
_space_group_symop_operation_xyz
'x,y,z'
loop_
_atom_site_label
_atom_site_type_symbol
_atom_site_fract_x
_atom_site_fract_y
_atom_site_fract_z
Li1 Li 0.000 0.000 0.000
Mg1 Mg 0.500 0.500 0.000
Si1 Si 0.000 0.500 0.500
Si2 Si 0.500 0.000 0.500
```

Results
The symmetry is No. 65. The spin magnetization is 0.00 μB per atom. The total energy is -3.6017 eV/atom.



(12)
Compound: SrN2F6
Source: the Alexandria database
Functional: PBE
Structure: optimized geometry

```
data_SrN2F6
_cell_length_a 5.118
_cell_length_b 5.118
_cell_length_c 5.118
_cell_angle_alpha 98.29
_cell_angle_beta 98.29
_cell_angle_gamma 98.29
_space_group_name_H-M_alt 'P 1'
_space_group_IT_number 1
loop_
_space_group_symop_operation_xyz
'x,y,z'
loop_
_atom_site_label
_atom_site_type_symbol
_atom_site_fract_x
_atom_site_fract_y
_atom_site_fract_z
Sr1 Sr 0.000 0.000 0.000
N1 N 0.425 0.425 0.425
N2 N 0.574 0.574 0.574
F1 F 0.119 0.499 0.877
F2 F 0.127 0.877 0.501
F3 F 0.499 0.877 0.119
F4 F 0.501 0.127 0.877
F5 F 0.877 0.119 0.499
F6 F 0.877 0.501 0.127
```

Results
The symmetry is No. 146. The spin magnetization is 0.44 μB per atom. The total energy is -4.4098 eV/atom.